Below is crystalline LiSc2P at its relaxed geometry, with properties calculated at the PBE-GGA level.

Its formation energy is -527 meV/atom. The uncorrected energy is -5.52 eV per atom. Its density is 2950 kg/m³.

Unit cell a=3.530 b=4.141 c=9.844 alpha=90.00 beta=90.00 gamma=90.00
Space group Imm2 (No. 44)
Inequivalent atoms, fractional coordinates:
Li 0.000 0.000 0.000
Sc 0.000 0.000 0.431
Sc 0.000 0.500 0.203
P 0.000 0.500 0.684


Below is crystalline Co2CuRuN at its relaxed geometry, with properties calculated at the PBE-GGA level.

As for the uncorrected formation energy: 0.8 eV per formula unit. The uncorrected energy is -7.03 eV per atom. Its density is 8789 kg/m³.

Unit cell a=3.769 b=3.769 c=3.943 alpha=90.00 beta=90.00 gamma=90.00
Space group P4/mmm (No. 123)
Inequivalent atoms, fractional coordinates:
Co 0.000 0.500 0.000
Cu 0.000 0.000 0.500
Ru 0.500 0.500 0.500
N 0.500 0.500 0.000


Below is crystalline NaThAg2 at its relaxed geometry, with properties calculated at the PBE-GGA level.

Its formation energy is 13 meV/atom. The uncorrected energy is -3.60 eV per atom. The energy above the lowest structure with this stoichiometry comes out at 0.000 eV per atom. Its density is 7968 kg/m³.

Unit cell a=3.474 b=3.474 c=8.131 alpha=90.00 beta=90.00 gamma=90.00
Space group P4/mmm (No. 123)
Inequivalent atoms, fractional coordinates:
Na 0.000 0.000 0.000
Th 0.000 0.000 0.500
Ag 0.500 0.500 0.242


Below is crystalline CeTaTe at its relaxed geometry, with properties calculated at the PBE-GGA level.

As for the uncorrected formation energy: -1.0 eV per formula unit. The uncorrected energy is -7.30 eV per atom. Its density is 9943 kg/m³.

Unit cell a=11.522 b=3.676 c=7.716 alpha=90.00 beta=113.49 gamma=90.00
Space group C2/m (No. 12)
Inequivalent atoms, fractional coordinates:
Ce 0.049 0.000 0.279
Ta 0.176 0.500 0.054
Te 0.167 0.500 0.669


Below is crystalline LiTbHo2 at its relaxed geometry, with properties calculated at the PBE-GGA level.

Its formation energy is 99 meV/atom. The uncorrected energy is -3.83 eV per atom. The energy above the lowest structure with this stoichiometry comes out at 0.028 eV per atom. Its density is 6975 kg/m³.

Unit cell a=3.4984 b=3.4984 c=33.4102 alpha=90.00 beta=90.00 gamma=120.00
Space group R3m (No. 160, hexagonal axes)
Inequivalent atoms, fractional coordinates:
Li 0.0000 0.0000 0.0000
Tb 0.0000 0.0000 0.8334
Ho 0.0000 0.0000 0.4149
Ho 0.0000 0.0000 0.5852


Below is crystalline Ga6RhAu at its relaxed geometry, with properties calculated at the PBE-GGA level.

Its formation energy is -199 meV/atom. The uncorrected energy is -3.80 eV per atom. Its density is 8048 kg/m³.

Unit cell a=4.775 b=4.803 c=7.333 alpha=99.71 beta=98.13 gamma=113.28
Space group P-1 (No. 2)
Inequivalent atoms, fractional coordinates:
Ga 0.090 0.213 0.173
Ga 0.298 0.444 0.818
Ga 0.378 0.846 0.315
Rh 0.500 0.000 0.000
Au 0.000 0.000 0.500


Below is crystalline Nd8RuRh3Cl4 at its relaxed geometry, with properties calculated at the PBE-GGA level.

As for the uncorrected formation energy: -17.7 eV per formula unit. The uncorrected energy is -5.91 eV per atom. Its density is 6481 kg/m³.

Unit cell a=8.1338 b=8.1338 c=22.8799 alpha=90.00 beta=90.00 gamma=120.00
Space group R-3m (No. 166, hexagonal axes)
Inequivalent atoms, fractional coordinates:
Nd 0.0000 0.0000 0.2345
Nd 0.0047 0.5023 0.2354
Ru 0.0000 0.0000 0.5000
Rh 0.0000 0.5000 0.5000
Cl 0.0000 0.0000 0.0000
Cl 0.0000 0.5000 0.0000


Below is crystalline Ce3TcGe5 at its relaxed geometry, with properties calculated at the PBE-GGA level.

Its formation energy is -629 meV/atom. The uncorrected energy is -6.32 eV per atom. Its density is 7807 kg/m³.

Unit cell a=8.5639 b=8.5639 c=5.9044 alpha=90.00 beta=90.00 gamma=120.00
Space group P6_3/mcm (No. 193)
Inequivalent atoms, fractional coordinates:
Ce 0.0000 0.3837 0.2500
Tc 0.0000 0.0000 0.0000
Ge 0.0000 0.2504 0.7500
Ge 0.3333 0.6667 0.0000


Below is crystalline Ce2MgV at its relaxed geometry, with properties calculated at the PBE-GGA level.

Its formation energy is 383 meV/atom. The uncorrected energy is -5.26 eV per atom. Its density is 6581 kg/m³.

Unit cell a=2.9801 b=2.9801 c=34.9854 alpha=90.00 beta=90.00 gamma=120.00
Space group R-3m (No. 166, hexagonal axes)
Inequivalent atoms, fractional coordinates:
Ce 0.0000 0.0000 0.0937
Mg 0.0000 0.0000 0.0000
V 0.0000 0.0000 0.5000


Below is crystalline Ac5Se5S2 at its relaxed geometry, with properties calculated at the PBE-GGA level.

As for the uncorrected formation energy: -24.5 eV per formula unit. The uncorrected energy is -5.90 eV per atom. Its density is 6812 kg/m³.

Unit cell a=14.623 b=4.343 c=12.748 alpha=90.00 beta=106.30 gamma=90.00
Space group C2/m (No. 12)
Inequivalent atoms, fractional coordinates:
Ac 0.000 0.000 0.000
Ac 0.110 0.000 0.413
Ac 0.190 0.500 0.807
Se 0.000 0.500 0.500
Se 0.161 0.500 0.051
Se 0.242 0.500 0.351
S 0.046 0.000 0.789


Below is crystalline Zr2NiPdC at its relaxed geometry, with properties calculated at the PBE-GGA level.

Its formation energy is -499 meV/atom. The uncorrected energy is -7.96 eV per atom. Its density is 7648 kg/m³.

Unit cell a=4.574 b=4.574 c=3.731 alpha=90.00 beta=90.00 gamma=90.00
Space group P4/mmm (No. 123)
Inequivalent atoms, fractional coordinates:
Zr 0.000 0.500 0.000
Ni 0.000 0.000 0.500
Pd 0.500 0.500 0.500
C 0.000 0.000 0.000


Below is crystalline Zn4InSe5 at its relaxed geometry, with properties calculated at the PBE-GGA level.

As for the uncorrected formation energy: -5.9 eV per formula unit. The uncorrected energy is -3.11 eV per atom. Its density is 5010 kg/m³.

Unit cell a=4.1018 b=4.1018 c=52.6304 alpha=90.00 beta=90.00 gamma=120.00
Space group R3m (No. 160, hexagonal axes)
Inequivalent atoms, fractional coordinates:
Zn 0.0000 0.0000 0.0000
Zn 0.0000 0.0000 0.1876
Zn 0.0000 0.0000 0.3959
Zn 0.0000 0.0000 0.7918
In 0.0000 0.0000 0.5955
Se 0.0000 0.0000 0.0473
Se 0.0000 0.0000 0.2355
Se 0.0000 0.0000 0.4433
Se 0.0000 0.0000 0.6509
Se 0.0000 0.0000 0.8393


Below is crystalline Ni2RuCl at its relaxed geometry, with properties calculated at the PBE-GGA level.

As for the uncorrected formation energy: 3.3 eV per formula unit. The uncorrected energy is -4.85 eV per atom. The energy above the lowest structure with this stoichiometry comes out at 0.550 eV per atom. Its density is 7815 kg/m³.

Unit cell a=3.712 b=3.712 c=7.830 alpha=90.00 beta=90.00 gamma=90.00
Space group I4/mmm (No. 139)
Inequivalent atoms, fractional coordinates:
Ni 0.000 0.500 0.250
Ru 0.000 0.000 0.000
Cl 0.000 0.000 0.500